1.
# ScCdPb2Se PBEsol optimized geometry
data_ScCdPb2Se
_cell_length_a 5.6470
_cell_length_b 5.6470
_cell_length_c 4.9310
_cell_angle_alpha 90.00
_cell_angle_beta 90.00
_cell_angle_gamma 90.00
_space_group_name_H-M_alt 'P 4/m m m'
_space_group_IT_number 123
_space_group_name_Hall '-P 4 2'
loop_
_atom_site_label
_atom_site_fract_x
_atom_site_fract_y
_atom_site_fract_z
Sc1 0.0000 0.0000 0.0000
Cd1 0.5000 0.5000 0.5000
Pb1 0.0000 0.5000 0.0000
Se1 0.0000 0.0000 0.5000
# **Density of states at the Fermi level**: 0.6471 states/eV per atom
# **Crystal system**: tetragonal
# **Formation energy from raw total energies**: 0.9 kcal/mol of atoms
# **Size of the total moment**: 0.00 μB/f.u.

=====

2.
# GaCuTcI2 PBEsol optimized geometry
data_GaCuTcI2
_cell_length_a 5.3415
_cell_length_b 5.3415
_cell_length_c 4.5045
_cell_angle_alpha 90.00
_cell_angle_beta 90.00
_cell_angle_gamma 90.00
_space_group_name_H-M_alt 'P 4/m m m'
_space_group_IT_number 123
_space_group_name_Hall '-P 4 2'
loop_
_atom_site_label
_atom_site_fract_x
_atom_site_fract_y
_atom_site_fract_z
Ga1 0.0000 0.0000 0.0000
Cu1 0.0000 0.0000 0.5000
Tc1 0.5000 0.5000 0.0000
I1 0.0000 0.5000 0.5000
# **Density of states at the Fermi level**: 0.8604 states/eV per atom
# **Crystal system**: tetragonal
# **ΔE to the lowest computed polymorph**: 0.055 eV per atom
# **Formation energy from raw total energies**: 24.7 kcal/mol of atoms
# **Size of the total moment**: 3.99 μB/f.u.

=====

3.
# MgZrAg2 PBEsol optimized geometry
data_MgZrAg2
_cell_length_a 6.6064
_cell_length_b 6.6064
_cell_length_c 6.6064
_cell_angle_alpha 90.00
_cell_angle_beta 90.00
_cell_angle_gamma 90.00
_space_group_name_H-M_alt 'F -4 3 m'
_space_group_IT_number 216
_space_group_name_Hall 'F -4 2 3'
loop_
_atom_site_label
_atom_site_fract_x
_atom_site_fract_y
_atom_site_fract_z
Mg1 0.0000 0.0000 0.0000
Zr1 0.2500 0.2500 0.2500
Ag1 0.0000 0.0000 0.5000
Ag2 0.2500 0.2500 0.7500
# **Density of states at the Fermi level**: 0.3569 states/eV per atom
# **VASP energy**: -17.6 eV/f.u.
# **Crystal system**: cubic
# **Size of the total moment**: 0.00 μB/f.u.

=====

4.
# CdAu PBEsol optimized geometry
data_CdAu
_cell_length_a 3.0115
_cell_length_b 3.0115
_cell_length_c 4.6350
_cell_angle_alpha 90.00
_cell_angle_beta 90.00
_cell_angle_gamma 120.00
_space_group_name_H-M_alt 'P -6 m 2'
_space_group_IT_number 187
_space_group_name_Hall 'P -6 2'
loop_
_atom_site_label
_atom_site_fract_x
_atom_site_fract_y
_atom_site_fract_z
Cd1 0.0000 0.0000 0.0000
Au1 0.6667 0.3333 0.5000
# **Density of states at the Fermi level**: 0.4213 states/eV per atom
# **VASP energy**: -5.3 eV/f.u.
# **Crystal system**: hexagonal
# **Size of the total moment**: 0.00 μB/f.u.

=====

5.
# ZnAg2Rh PBEsol optimized geometry
data_ZnAg2Rh
_cell_length_a 5.3879
_cell_length_b 7.9082
_cell_length_c 2.8038
_cell_angle_alpha 90.00
_cell_angle_beta 90.00
_cell_angle_gamma 90.00
_space_group_name_H-M_alt 'C m m m'
_space_group_IT_number 65
_space_group_name_Hall '-C 2 2'
loop_
_atom_site_label
_atom_site_fract_x
_atom_site_fract_y
_atom_site_fract_z
Zn1 0.0000 0.0000 0.0000
Ag1 0.2500 0.2500 0.5000
Rh1 0.0000 0.5000 0.0000
# **Density of states at the Fermi level**: 0.6495 states/eV per atom
# **VASP energy**: -16.1 eV/f.u.
# **Crystal system**: orthorhombic
# **Size of the total moment**: 0.00 μB/f.u.

=====

6.
# Sc2SI PBEsol optimized geometry
data_Sc2SI
_cell_length_a 6.0747
_cell_length_b 6.0747
_cell_length_c 12.0373
_cell_angle_alpha 90.00
_cell_angle_beta 90.00
_cell_angle_gamma 90.00
_space_group_name_H-M_alt 'I -4 2 d'
_space_group_IT_number 122
_space_group_name_Hall 'I -4 2bw'
loop_
_atom_site_label
_atom_site_fract_x
_atom_site_fract_y
_atom_site_fract_z
Sc1 0.1892 0.2500 0.1250
S1 0.0000 0.0000 0.0000
I1 0.0000 0.0000 0.5000
# **Density of states at the Fermi level**: 0.8234 states/eV per atom
# **Crystal system**: tetragonal
# **Formation energy from raw total energies**: -20.4 kcal/mol of atoms
# **Size of the total moment**: 0.00 μB/f.u.

=====

7.
# MnNO2F PBEsol optimized geometry
data_MnNO2F
_cell_length_a 3.4842
_cell_length_b 3.4842
_cell_length_c 3.7811
_cell_angle_alpha 90.00
_cell_angle_beta 90.00
_cell_angle_gamma 90.00
_space_group_name_H-M_alt 'P 4/m m m'
_space_group_IT_number 123
_space_group_name_Hall '-P 4 2'
loop_
_atom_site_label
_atom_site_fract_x
_atom_site_fract_y
_atom_site_fract_z
Mn1 0.0000 0.0000 0.0000
N1 0.0000 0.0000 0.5000
O1 0.0000 0.5000 0.0000
F1 0.5000 0.5000 0.5000
# **Density of states at the Fermi level**: 0.5961 states/eV per atom
# **Crystal system**: tetragonal
# **Formation energy from raw total energies**: -1.8 kcal/mol of atoms
# **Size of the total moment**: 1.30 μB/f.u.

=====

8.
# Li3Ti2V3O10 PBEsol optimized geometry
data_Li3Ti2V3O10
_cell_length_a 4.9382
_cell_length_b 5.0259
_cell_length_c 7.6529
_cell_angle_alpha 72.83
_cell_angle_beta 72.81
_cell_angle_gamma 80.50
_space_group_name_H-M_alt 'P -1'
_space_group_IT_number 2
loop_
_space_group_symop_operation_xyz
'x,y,z'
'-x,-y,-z'
loop_
_atom_site_label
_atom_site_fract_x
_atom_site_fract_y
_atom_site_fract_z
Li1 0.0000 0.0000 0.0000
Li2 0.4916 0.7265 0.0925
Ti1 0.0109 0.3841 0.1915
V1 0.0319 0.1805 0.5974
V2 0.5000 0.5000 0.5000
O1 0.2103 0.0432 0.1663
O2 0.2249 0.4676 0.3600
O3 0.2259 0.6198 0.9681
O4 0.2393 0.8301 0.5511
O5 0.2526 0.2822 0.7348
# **Density of states at the Fermi level**: 0.4003 states/eV per atom
# **Crystal system**: triclinic
# **Formation energy from raw total energies**: -57.5 kcal/mol of atoms
# **Size of the total moment**: 5.21 μB/f.u.

=====

9.
# CsTeN2O PBEsol optimized geometry
data_CsTeN2O
_cell_length_a 4.4687
_cell_length_b 4.4687
_cell_length_c 4.1865
_cell_angle_alpha 90.00
_cell_angle_beta 90.00
_cell_angle_gamma 90.00
_space_group_name_H-M_alt 'P 4/m m m'
_space_group_IT_number 123
_space_group_name_Hall '-P 4 2'
loop_
_atom_site_label
_atom_site_fract_x
_atom_site_fract_y
_atom_site_fract_z
Cs1 0.0000 0.0000 0.0000
Te1 0.5000 0.5000 0.5000
N1 0.0000 0.5000 0.0000
O1 0.0000 0.0000 0.5000
# **Density of states at the Fermi level**: 0.6900 states/eV per atom
# **Crystal system**: tetragonal
# **Formation energy from raw total energies**: 49.3 kcal/mol of atoms
# **Size of the total moment**: 0.00 μB/f.u.

=====

10.
# K2AgIr PBEsol optimized geometry
data_K2AgIr
_cell_length_a 10.8831
_cell_length_b 2.8330
_cell_length_c 5.4564
_cell_angle_alpha 90.00
_cell_angle_beta 96.24
_cell_angle_gamma 90.00
_space_group_name_H-M_alt 'C 1 2/m 1'
_space_group_IT_number 12
loop_
_space_group_symop_operation_xyz
'x,y,z'
'-x,-y,-z'
'-x,y,-z'
'x,-y,z'
'x+1/2,y+1/2,z'
'-x+1/2,-y+1/2,-z'
'-x+1/2,y+1/2,-z'
'x+1/2,-y+1/2,z'
loop_
_atom_site_label
_atom_site_fract_x
_atom_site_fract_y
_atom_site_fract_z
K1 0.2456 0.0000 0.2445
Ag1 0.0000 0.0000 0.5000
Ir1 0.0000 0.5000 0.0000
# **Density of states at the Fermi level**: 0.5924 states/eV per atom
# **Crystal system**: monoclinic
# **ΔE to the lowest computed polymorph**: 0.000 eV per atom
# **Size of the total moment**: 0.42 μB/f.u.

=====

11.
# SbRh2Se PBEsol optimized geometry
data_SbRh2Se
_cell_length_a 3.5105
_cell_length_b 3.5105
_cell_length_c 5.5183
_cell_angle_alpha 90.00
_cell_angle_beta 90.00
_cell_angle_gamma 90.00
_space_group_name_H-M_alt 'P 4 m m'
_space_group_IT_number 99
loop_
_space_group_symop_operation_xyz
'x,y,z'
'-y,x,z'
'-x,-y,z'
'y,-x,z'
'-x,y,z'
'y,x,z'
'x,-y,z'
'-y,-x,z'
loop_
_atom_site_label
_atom_site_fract_x
_atom_site_fract_y
_atom_site_fract_z
Sb1 0.0000 0.0000 0.0000
Rh1 0.0000 0.0000 0.4918
Rh2 0.5000 0.5000 0.1753
Se1 0.5000 0.5000 0.6032
# **Density of states at the Fermi level**: 0.3709 states/eV per atom
# **Crystal system**: tetragonal
# **Formation energy from raw total energies**: -7.8 kcal/mol of atoms
# **Size of the total moment**: 0.00 μB/f.u.

=====

12.
# TlBiBr2 PBEsol optimized geometry
data_TlBiBr2
_cell_length_a 3.7576
_cell_length_b 3.7576
_cell_length_c 30.8187
_cell_angle_alpha 90.00
_cell_angle_beta 90.00
_cell_angle_gamma 120.00
_space_group_name_H-M_alt 'R -3 m'
_space_group_IT_number 166
_space_group_name_Hall '-R 3 2"'
loop_
_atom_site_label
_atom_site_fract_x
_atom_site_fract_y
_atom_site_fract_z
Tl1 0.0000 0.0000 0.0000
Bi1 0.0000 0.0000 0.5000
Br1 0.0000 0.0000 0.4086
# **Density of states at the Fermi level**: 0.1859 states/eV per atom
# **Crystal system**: trigonal
# **Formation energy from raw total energies**: -10.1 kcal/mol of atoms
# **Size of the total moment**: 0.00 μB/f.u.